(1)
# Ba3YTe4, optimized geometry, DFT PBE
# E_form (uncorrected): -13.0 eV/f.u.
data_Ba3YTe4
_chemical_formula_sum 'Ba3 Y1 Te4'
_symmetry_space_group_name_H-M 'P 1'
_symmetry_Int_Tables_number 1
_cell_length_a 4.786
_cell_length_b 8.376
_cell_length_c 8.376
_cell_angle_alpha 108.99
_cell_angle_beta 90.00
_cell_angle_gamma 90.00
loop_
_symmetry_equiv_pos_as_xyz
'x,y,z'
loop_
_atom_site_label
_atom_site_fract_x
_atom_site_fract_y
_atom_site_fract_z
Ba1 0.000 0.000 0.500
Ba2 0.500 0.500 0.500
Ba3 0.000 0.500 0.000
Y1 0.500 0.000 0.000
Te1 0.000 0.223 0.223
Te2 0.500 0.766 0.234
Te3 0.000 0.777 0.777
Te4 0.500 0.234 0.766


(2)
# ZrBiI3, optimized geometry, DFT PBE
# E_form (uncorrected): -0.3 eV/f.u.
data_ZrBiI3
_chemical_formula_sum 'Zr1 Bi1 I3'
_symmetry_space_group_name_H-M 'P 1'
_symmetry_Int_Tables_number 1
_cell_length_a 5.821
_cell_length_b 5.821
_cell_length_c 5.821
_cell_angle_alpha 90.00
_cell_angle_beta 90.00
_cell_angle_gamma 90.00
loop_
_symmetry_equiv_pos_as_xyz
'x,y,z'
loop_
_atom_site_label
_atom_site_fract_x
_atom_site_fract_y
_atom_site_fract_z
I1 0.000 0.500 0.000
I2 0.000 0.000 0.500
I3 0.500 0.000 0.000
Bi1 0.500 0.500 0.500
Zr1 0.000 0.000 0.000


(3)
# PmAl5Pd

PmAl5Pd after structural relaxation (PBE, the Alexandria database).

Structure (CIF):
```
data_PmAl5Pd
_chemical_formula_sum 'Pm1 Al5 Pd1'
_symmetry_space_group_name_H-M 'P 1'
_symmetry_Int_Tables_number 1
_cell_length_a 4.355
_cell_length_b 4.355
_cell_length_c 7.006
_cell_angle_alpha 90.00
_cell_angle_beta 90.00
_cell_angle_gamma 90.00
loop_
_symmetry_equiv_pos_as_xyz
'x,y,z'
loop_
_atom_site_label
_atom_site_fract_x
_atom_site_fract_y
_atom_site_fract_z
Pm1 0.000 0.000 0.000
Al1 0.500 0.000 0.699
Al2 0.000 0.500 0.699
Al3 0.500 0.500 0.000
Al4 0.000 0.500 0.301
Al5 0.500 0.000 0.301
Pd1 0.000 0.000 0.500
```


(4)
# Cr2MoP

Cr2MoP after structural relaxation (PBE, the Alexandria database).

Structure (CIF):
```
data_Cr2MoP
_chemical_formula_sum 'Cr2 Mo1 P1'
_symmetry_space_group_name_H-M 'P 1'
_symmetry_Int_Tables_number 1
_cell_length_a 2.762
_cell_length_b 2.762
_cell_length_c 6.642
_cell_angle_alpha 90.00
_cell_angle_beta 90.00
_cell_angle_gamma 90.00
loop_
_symmetry_equiv_pos_as_xyz
'x,y,z'
loop_
_atom_site_label
_atom_site_fract_x
_atom_site_fract_y
_atom_site_fract_z
Cr1 0.000 0.000 0.955
Cr2 0.000 0.000 0.545
Mo1 0.500 0.500 0.250
P1 0.500 0.500 0.750
```


(5)
# KRb2Ir

KRb2Ir after structural relaxation (PBE, the Alexandria database).

Structure (CIF):
```
data_KRb2Ir
_chemical_formula_sum 'K1 Rb2 Ir1'
_symmetry_space_group_name_H-M 'P 1'
_symmetry_Int_Tables_number 1
_cell_length_a 5.781
_cell_length_b 5.781
_cell_length_c 5.781
_cell_angle_alpha 60.00
_cell_angle_beta 60.00
_cell_angle_gamma 60.00
loop_
_symmetry_equiv_pos_as_xyz
'x,y,z'
loop_
_atom_site_label
_atom_site_fract_x
_atom_site_fract_y
_atom_site_fract_z
K1 0.000 0.000 0.000
Ir1 0.500 0.500 0.500
Rb1 0.250 0.250 0.250
Rb2 0.750 0.750 0.750
```


(6)
# Mg2BeNi

Mg2BeNi after structural relaxation (PBE, the Alexandria database).

Structure (CIF):
```
data_Mg2BeNi
_chemical_formula_sum 'Mg2 Be1 Ni1'
_symmetry_space_group_name_H-M 'P 1'
_symmetry_Int_Tables_number 1
_cell_length_a 8.513
_cell_length_b 8.513
_cell_length_c 8.513
_cell_angle_alpha 19.82
_cell_angle_beta 19.82
_cell_angle_gamma 19.82
loop_
_symmetry_equiv_pos_as_xyz
'x,y,z'
loop_
_atom_site_label
_atom_site_fract_x
_atom_site_fract_y
_atom_site_fract_z
Ni1 0.487 0.487 0.487
Mg1 0.013 0.013 0.013
Mg2 0.235 0.235 0.235
Be1 0.765 0.765 0.765
```


(7)
# YRuAu2

YRuAu2 after structural relaxation (PBE, the Alexandria database).

Structure (CIF):
```
data_YRuAu2
_chemical_formula_sum 'Y1 Ru1 Au2'
_symmetry_space_group_name_H-M 'P 1'
_symmetry_Int_Tables_number 1
_cell_length_a 3.579
_cell_length_b 3.579
_cell_length_c 6.034
_cell_angle_alpha 90.00
_cell_angle_beta 90.00
_cell_angle_gamma 90.00
loop_
_symmetry_equiv_pos_as_xyz
'x,y,z'
loop_
_atom_site_label
_atom_site_fract_x
_atom_site_fract_y
_atom_site_fract_z
Au1 0.000 0.000 0.013
Au2 0.500 0.500 0.262
Ru1 0.000 0.000 0.481
Y1 0.500 0.500 0.743
```


(8)
# Li2Ac3SnPd9

Li2Ac3SnPd9 after structural relaxation (PBE, the Alexandria database).

Structure (CIF):
```
data_Li2Ac3SnPd9
_chemical_formula_sum 'Li2 Ac3 Sn1 Pd9'
_symmetry_space_group_name_H-M 'P 1'
_symmetry_Int_Tables_number 1
_cell_length_a 6.127
_cell_length_b 6.127
_cell_length_c 9.776
_cell_angle_alpha 90.00
_cell_angle_beta 90.00
_cell_angle_gamma 120.00
loop_
_symmetry_equiv_pos_as_xyz
'x,y,z'
loop_
_atom_site_label
_atom_site_fract_x
_atom_site_fract_y
_atom_site_fract_z
Li1 0.333 0.667 0.149
Li2 0.667 0.333 0.851
Ac1 0.333 0.667 0.696
Ac2 0.000 0.000 0.000
Ac3 0.667 0.333 0.304
Sn1 0.000 0.000 0.500
Pd1 0.837 0.163 0.704
Pd2 0.837 0.674 0.704
Pd3 0.326 0.163 0.704
Pd4 0.674 0.837 0.296
Pd5 0.163 0.326 0.296
Pd6 0.163 0.837 0.296
Pd7 0.500 0.000 0.000
Pd8 0.000 0.500 0.000
Pd9 0.500 0.500 0.000
```


(9)
# Pm2Ga3Cu2

Pm2Ga3Cu2 after structural relaxation (PBE, the Alexandria database).

Structure (CIF):
```
data_Pm2Ga3Cu2
_chemical_formula_sum 'Pm2 Ga3 Cu2'
_symmetry_space_group_name_H-M 'P 1'
_symmetry_Int_Tables_number 1
_cell_length_a 4.335
_cell_length_b 5.629
_cell_length_c 6.576
_cell_angle_alpha 110.72
_cell_angle_beta 90.00
_cell_angle_gamma 112.65
loop_
_symmetry_equiv_pos_as_xyz
'x,y,z'
loop_
_atom_site_label
_atom_site_fract_x
_atom_site_fract_y
_atom_site_fract_z
Pm1 0.847 0.693 0.224
Pm2 0.153 0.307 0.776
Ga1 0.500 0.000 0.000
Ga2 0.602 0.205 0.430
Ga3 0.398 0.795 0.570
Cu1 0.854 0.708 0.742
Cu2 0.146 0.292 0.258
```


(10)
# TbHo5Pb6

TbHo5Pb6 after structural relaxation (PBE, the Alexandria database).

Structure (CIF):
```
data_TbHo5Pb6
_chemical_formula_sum 'Tb1 Ho5 Pb6'
_symmetry_space_group_name_H-M 'P 1'
_symmetry_Int_Tables_number 1
_cell_length_a 8.649
_cell_length_b 6.102
_cell_length_c 8.224
_cell_angle_alpha 68.22
_cell_angle_beta 79.46
_cell_angle_gamma 60.47
loop_
_symmetry_equiv_pos_as_xyz
'x,y,z'
loop_
_atom_site_label
_atom_site_fract_x
_atom_site_fract_y
_atom_site_fract_z
Tb1 0.000 0.000 0.000
Ho1 0.500 0.165 0.669
Ho2 0.000 0.332 0.335
Ho3 0.500 0.500 0.000
Ho4 0.000 0.668 0.665
Ho5 0.500 0.835 0.331
Pb1 0.748 0.085 0.335
Pb2 0.252 0.581 0.335
Pb3 0.249 0.255 0.000
Pb4 0.751 0.745 0.000
Pb5 0.748 0.419 0.665
Pb6 0.252 0.915 0.665
```


(11)
# PmTiZnAu

PmTiZnAu after structural relaxation (PBE, the Alexandria database).

Structure (CIF):
```
data_PmTiZnAu
_chemical_formula_sum 'Pm1 Ti1 Zn1 Au1'
_symmetry_space_group_name_H-M 'P 1'
_symmetry_Int_Tables_number 1
_cell_length_a 4.925
_cell_length_b 4.925
_cell_length_c 4.925
_cell_angle_alpha 60.00
_cell_angle_beta 60.00
_cell_angle_gamma 60.00
loop_
_symmetry_equiv_pos_as_xyz
'x,y,z'
loop_
_atom_site_label
_atom_site_fract_x
_atom_site_fract_y
_atom_site_fract_z
Zn1 0.500 0.500 0.500
Ti1 0.250 0.250 0.250
Au1 0.000 0.000 0.000
Pm1 0.750 0.750 0.750
```


(12)
# Pb2BrO, optimized geometry, DFT PBE
# E_form (uncorrected): -2.3 eV/f.u.
data_Pb2BrO
_chemical_formula_sum 'Pb4 Br2 O2'
_symmetry_space_group_name_H-M 'P 1'
_symmetry_Int_Tables_number 1
_cell_length_a 6.308
_cell_length_b 6.308
_cell_length_c 7.864
_cell_angle_alpha 66.36
_cell_angle_beta 66.36
_cell_angle_gamma 90.00
loop_
_symmetry_equiv_pos_as_xyz
'x,y,z'
loop_
_atom_site_label
_atom_site_fract_x
_atom_site_fract_y
_atom_site_fract_z
Pb1 0.514 0.125 0.250
Pb2 0.236 0.625 0.250
Pb3 0.375 0.486 0.750
Pb4 0.875 0.764 0.750
O1 0.500 0.500 0.000
O2 0.250 0.750 0.500
Br1 0.000 0.000 0.000
Br2 0.750 0.250 0.500


(13)
# LiLaPb

LiLaPb after structural relaxation (PBE, the Alexandria database).

Structure (CIF):
```
data_LiLaPb
_chemical_formula_sum 'Li2 La2 Pb2'
_symmetry_space_group_name_H-M 'P 1'
_symmetry_Int_Tables_number 1
_cell_length_a 4.761
_cell_length_b 4.761
_cell_length_c 7.278
_cell_angle_alpha 90.00
_cell_angle_beta 90.00
_cell_angle_gamma 90.00
loop_
_symmetry_equiv_pos_as_xyz
'x,y,z'
loop_
_atom_site_label
_atom_site_fract_x
_atom_site_fract_y
_atom_site_fract_z
Li1 0.500 0.500 0.500
Li2 0.000 0.000 0.500
La1 0.000 0.500 0.810
La2 0.500 0.000 0.190
Pb1 0.000 0.500 0.271
Pb2 0.500 0.000 0.729
```


(14)
# PdPtRh2S, optimized geometry, DFT PBE
# E_form (uncorrected): 7.4 eV/f.u.
data_PdPtRh2S
_chemical_formula_sum 'Pd1 Pt1 Rh2 S1'
_symmetry_space_group_name_H-M 'P 1'
_symmetry_Int_Tables_number 1
_cell_length_a 4.778
_cell_length_b 4.912
_cell_length_c 4.778
_cell_angle_alpha 90.00
_cell_angle_beta 90.00
_cell_angle_gamma 90.00
loop_
_symmetry_equiv_pos_as_xyz
'x,y,z'
loop_
_atom_site_label
_atom_site_fract_x
_atom_site_fract_y
_atom_site_fract_z
S1 0.500 0.500 0.500
Rh1 0.000 0.000 0.500
Rh2 0.500 0.000 0.000
Pd1 0.000 0.500 0.000
Pt1 0.000 0.000 0.000


(15)
# TaCu2Pd2

TaCu2Pd2 after structural relaxation (PBE, the Alexandria database).

Structure (CIF):
```
data_TaCu2Pd2
_chemical_formula_sum 'Ta1 Cu2 Pd2'
_symmetry_space_group_name_H-M 'P 1'
_symmetry_Int_Tables_number 1
_cell_length_a 3.752
_cell_length_b 4.738
_cell_length_c 4.810
_cell_angle_alpha 79.78
_cell_angle_beta 67.04
_cell_angle_gamma 66.67
loop_
_symmetry_equiv_pos_as_xyz
'x,y,z'
loop_
_atom_site_label
_atom_site_fract_x
_atom_site_fract_y
_atom_site_fract_z
Ta1 0.000 0.000 0.000
Cu1 0.201 0.190 0.407
Cu2 0.799 0.810 0.593
Pd1 0.595 0.608 0.203
Pd2 0.405 0.392 0.797
```


(16)
# BPS2Br, optimized geometry, DFT PBE
# E_form (uncorrected): 10.5 eV/f.u.
data_BPS2Br
_chemical_formula_sum 'B1 P1 S2 Br1'
_symmetry_space_group_name_H-M 'P 1'
_symmetry_Int_Tables_number 1
_cell_length_a 4.836
_cell_length_b 4.836
_cell_length_c 4.994
_cell_angle_alpha 90.00
_cell_angle_beta 90.00
_cell_angle_gamma 90.00
loop_
_symmetry_equiv_pos_as_xyz
'x,y,z'
loop_
_atom_site_label
_atom_site_fract_x
_atom_site_fract_y
_atom_site_fract_z
P1 0.000 0.000 0.500
S1 0.000 0.500 0.000
S2 0.500 0.000 0.000
B1 0.500 0.500 0.500
Br1 0.000 0.000 0.000


(17)
# NaTm2Cd9

NaTm2Cd9 after structural relaxation (PBE, the Alexandria database).

Structure (CIF):
```
data_NaTm2Cd9
_chemical_formula_sum 'Na1 Tm2 Cd9'
_symmetry_space_group_name_H-M 'P 1'
_symmetry_Int_Tables_number 1
_cell_length_a 4.542
_cell_length_b 4.542
_cell_length_c 13.711
_cell_angle_alpha 90.00
_cell_angle_beta 90.00
_cell_angle_gamma 90.00
loop_
_symmetry_equiv_pos_as_xyz
'x,y,z'
loop_
_atom_site_label
_atom_site_fract_x
_atom_site_fract_y
_atom_site_fract_z
Na1 0.000 0.000 0.000
Tm1 0.000 0.000 0.331
Tm2 0.000 0.000 0.669
Cd1 0.500 0.500 0.000
Cd2 0.500 0.500 0.330
Cd3 0.500 0.500 0.670
Cd4 0.500 0.000 0.166
Cd5 0.500 0.000 0.500
Cd6 0.500 0.000 0.834
Cd7 0.000 0.500 0.166
Cd8 0.000 0.500 0.500
Cd9 0.000 0.500 0.834
```


(18)
# TmAl12Pt4

TmAl12Pt4 after structural relaxation (PBE, the Alexandria database).

Structure (CIF):
```
data_TmAl12Pt4
_chemical_formula_sum 'Tm1 Al12 Pt4'
_symmetry_space_group_name_H-M 'P 1'
_symmetry_Int_Tables_number 1
_cell_length_a 7.601
_cell_length_b 7.601
_cell_length_c 7.601
_cell_angle_alpha 109.47
_cell_angle_beta 109.47
_cell_angle_gamma 109.47
loop_
_symmetry_equiv_pos_as_xyz
'x,y,z'
loop_
_atom_site_label
_atom_site_fract_x
_atom_site_fract_y
_atom_site_fract_z
Tm1 0.000 0.000 0.000
Al1 0.843 0.340 0.183
Al2 0.340 0.497 0.157
Al3 0.817 0.157 0.660
Al4 0.340 0.183 0.843
Al5 0.183 0.843 0.340
Al6 0.660 0.503 0.843
Al7 0.497 0.157 0.340
Al8 0.503 0.843 0.660
Al9 0.660 0.817 0.157
Al10 0.843 0.660 0.503
Al11 0.157 0.340 0.497
Al12 0.157 0.660 0.817
Pt1 0.000 0.500 0.000
Pt2 0.500 0.000 0.000
Pt3 0.500 0.500 0.500
Pt4 0.000 0.000 0.500
```


(19)
# PrPu2TcN4, optimized geometry, DFT PBE
# E_form (uncorrected): -7.6 eV/f.u.
data_PrPu2TcN4
_chemical_formula_sum 'Pr2 Pu4 Tc2 N8'
_symmetry_space_group_name_H-M 'P 1'
_symmetry_Int_Tables_number 1
_cell_length_a 3.400
_cell_length_b 6.157
_cell_length_c 11.578
_cell_angle_alpha 90.00
_cell_angle_beta 90.00
_cell_angle_gamma 106.03
loop_
_symmetry_equiv_pos_as_xyz
'x,y,z'
loop_
_atom_site_label
_atom_site_fract_x
_atom_site_fract_y
_atom_site_fract_z
Pr1 0.112 0.224 0.750
Pr2 0.888 0.776 0.250
Pu1 0.369 0.737 0.548
Pu2 0.631 0.263 0.048
Pu3 0.631 0.263 0.452
Pu4 0.369 0.737 0.952
Tc1 0.852 0.703 0.750
Tc2 0.148 0.297 0.250
N1 0.264 0.529 0.118
N2 0.736 0.471 0.618
N3 0.736 0.471 0.882
N4 0.264 0.529 0.382
N5 0.000 0.000 0.500
N6 0.000 0.000 0.000
N7 0.455 0.909 0.750
N8 0.545 0.091 0.250


(20)
# NaHfMg2

NaHfMg2 after structural relaxation (PBE, the Alexandria database).

Structure (CIF):
```
data_NaHfMg2
_chemical_formula_sum 'Na1 Hf1 Mg2'
_symmetry_space_group_name_H-M 'P 1'
_symmetry_Int_Tables_number 1
_cell_length_a 3.173
_cell_length_b 3.173
_cell_length_c 9.813
_cell_angle_alpha 90.00
_cell_angle_beta 90.00
_cell_angle_gamma 90.00
loop_
_symmetry_equiv_pos_as_xyz
'x,y,z'
loop_
_atom_site_label
_atom_site_fract_x
_atom_site_fract_y
_atom_site_fract_z
Na1 0.500 0.500 0.500
Mg1 0.000 0.000 0.779
Mg2 0.000 0.000 0.221
Hf1 0.500 0.500 0.000
```


| no. | final energy (eV per atom) |
| --- | --- |
| 1 | -4.7246 |
| 2 | -3.4731 |
| 3 | -4.5980 |
| 4 | -8.8348 |
| 5 | -2.1966 |
| 6 | -3.0019 |
| 7 | -5.7969 |
| 8 | -5.0029 |
| 9 | -4.2690 |
| 10 | -4.5698 |
| 11 | -4.5552 |
| 12 | -4.0971 |
| 13 | -4.0612 |
| 14 | -4.5352 |
| 15 | -6.3322 |
| 16 | -2.3052 |
| 17 | -1.7187 |
| 18 | -4.6635 |
| 19 | -10.5884 |
| 20 | -3.4765 |